## CdAg3Ge (PBE)

Data for CdAg3Ge after structural relaxation.

```
data_CdAg3Ge
_symmetry_space_group_name_H-M 'P m -3 m'
_symmetry_Int_Tables_number 221
_symmetry_space_group_name_Hall '-P 4 2 3'
_cell_length_a 5.115
_cell_length_b 5.115
_cell_length_c 5.115
_cell_angle_alpha 90.00
_cell_angle_beta 90.00
_cell_angle_gamma 90.00
loop_
_atom_site_label
_atom_site_fract_x
_atom_site_fract_y
_atom_site_fract_z
Cd1 0.000 0.000 0.000
Ag1 0.000 0.000 0.500
Ge1 0.500 0.500 0.500
```

Distance to the lowest polymorph of the same formula in meV/atom: 424
Mass density in g cm⁻³: 6.312
Magnetic moment in μB per cell: 0.00

## MgTeCl6 (PBE)

Data for MgTeCl6 after structural relaxation.

```
data_MgTeCl6
_symmetry_space_group_name_H-M 'C 1 2/m 1'
_symmetry_Int_Tables_number 12
_cell_length_a 6.373
_cell_length_b 12.852
_cell_length_c 6.373
_cell_angle_alpha 90.00
_cell_angle_beta 108.55
_cell_angle_gamma 90.00
loop_
_symmetry_equiv_pos_as_xyz
'x,y,z'
'-x,-y,-z'
'-x,y,-z'
'x,-y,z'
'x+1/2,y+1/2,z'
'-x+1/2,-y+1/2,-z'
'-x+1/2,y+1/2,-z'
'x+1/2,-y+1/2,z'
loop_
_atom_site_label
_atom_site_fract_x
_atom_site_fract_y
_atom_site_fract_z
Mg1 0.000 0.000 0.000
Te1 0.000 0.500 0.500
Cl1 0.243 0.135 0.241
Cl2 0.246 0.500 0.256
```

Raw formation energy in eV/atom: -0.998
Distance to the lowest polymorph of the same formula in meV/atom: 0
Mass density in g cm⁻³: 2.447
Magnetic moment in μB per cell: 0.00

## Sm2TmZn2Ga2 (PBE)

Data for Sm2TmZn2Ga2 after structural relaxation.

```
data_Sm2TmZn2Ga2
_symmetry_space_group_name_H-M 'R -3 m'
_symmetry_Int_Tables_number 166
_symmetry_space_group_name_Hall '-R 3 2"'
_cell_length_a 4.4305
_cell_length_b 4.4305
_cell_length_c 28.2146
_cell_angle_alpha 90.00
_cell_angle_beta 90.00
_cell_angle_gamma 120.00
loop_
_atom_site_label
_atom_site_fract_x
_atom_site_fract_y
_atom_site_fract_z
Sm1 0.0000 0.0000 0.1243
Tm1 0.0000 0.0000 0.0000
Zn1 0.0000 0.0000 0.3909
Ga1 0.0000 0.0000 0.2694
```

Mass density in g cm⁻³: 7.685
Magnetic moment in μB per cell: 0.00
Total energy in eV/atom: -3.615

## Sc6Al3Os (PBE)

Data for Sc6Al3Os after structural relaxation.

```
data_Sc6Al3Os
_symmetry_space_group_name_H-M 'P 1 21/m 1'
_symmetry_Int_Tables_number 11
_cell_length_a 8.304
_cell_length_b 4.806
_cell_length_c 10.537
_cell_angle_alpha 90.00
_cell_angle_beta 109.20
_cell_angle_gamma 90.00
loop_
_symmetry_equiv_pos_as_xyz
'x,y,z'
'-x,-y,-z'
'-x,y+1/2,-z'
'x,-y+1/2,z'
loop_
_atom_site_label
_atom_site_fract_x
_atom_site_fract_y
_atom_site_fract_z
Sc1 0.037 0.250 0.416
Sc2 0.173 0.750 0.167
Sc3 0.270 0.250 0.007
Sc4 0.352 0.750 0.816
Sc5 0.364 0.250 0.335
Sc6 0.400 0.250 0.635
Al1 0.029 0.750 0.878
Al2 0.107 0.250 0.720
Al3 0.270 0.750 0.472
Os1 0.458 0.750 0.095
```

Mass density in g cm⁻³: 4.523
Magnetic moment in μB per cell: 0.00
Total energy in eV/atom: -6.446

## Cs2AlTlSn (PBE)

Data for Cs2AlTlSn after structural relaxation.

```
data_Cs2AlTlSn
_symmetry_space_group_name_H-M 'P 4/m m m'
_symmetry_Int_Tables_number 123
_symmetry_space_group_name_Hall '-P 4 2'
_cell_length_a 7.486
_cell_length_b 7.486
_cell_length_c 5.088
_cell_angle_alpha 90.00
_cell_angle_beta 90.00
_cell_angle_gamma 90.00
loop_
_atom_site_label
_atom_site_fract_x
_atom_site_fract_y
_atom_site_fract_z
Cs1 0.000 0.500 0.000
Al1 0.000 0.000 0.500
Tl1 0.000 0.000 0.000
Sn1 0.500 0.500 0.500
```

Mass density in g cm⁻³: 3.586
Magnetic moment in μB per cell: 1.66
Total energy in eV/atom: -1.889

## Cu2RuBr (PBE)

Data for Cu2RuBr after structural relaxation.

```
data_Cu2RuBr
_symmetry_space_group_name_H-M 'C m m m'
_symmetry_Int_Tables_number 65
_symmetry_space_group_name_Hall '-C 2 2'
_cell_length_a 2.995
_cell_length_b 4.919
_cell_length_c 8.605
_cell_angle_alpha 90.00
_cell_angle_beta 90.00
_cell_angle_gamma 90.00
loop_
_atom_site_label
_atom_site_fract_x
_atom_site_fract_y
_atom_site_fract_z
Cu1 0.000 0.000 0.238
Ru1 0.000 0.500 0.000
Br1 0.000 0.500 0.500
```

Raw formation energy in eV/atom: 0.622
Distance to the lowest polymorph of the same formula in meV/atom: 168
Mass density in g cm⁻³: 8.071
Magnetic moment in μB per cell: 1.89

## TlPbSe2 (PBE)

Data for TlPbSe2 after structural relaxation.

```
data_TlPbSe2
_symmetry_space_group_name_H-M 'F m -3 m'
_symmetry_Int_Tables_number 225
_symmetry_space_group_name_Hall '-F 4 2 3'
_cell_length_a 7.519
_cell_length_b 7.519
_cell_length_c 7.519
_cell_angle_alpha 90.00
_cell_angle_beta 90.00
_cell_angle_gamma 90.00
loop_
_atom_site_label
_atom_site_fract_x
_atom_site_fract_y
_atom_site_fract_z
Tl1 0.000 0.000 0.000
Pb1 0.000 0.000 0.500
Se1 0.250 0.250 0.250
```

Raw formation energy in eV/atom: -0.214
Mass density in g cm⁻³: 8.900
Magnetic moment in μB per cell: 0.00

## Ba2LaPaAs4 (PBE)

Data for Ba2LaPaAs4 after structural relaxation.

```
data_Ba2LaPaAs4
_symmetry_space_group_name_H-M 'P 1 2/m 1'
_symmetry_Int_Tables_number 10
_cell_length_a 7.665
_cell_length_b 4.434
_cell_length_c 7.920
_cell_angle_alpha 90.00
_cell_angle_beta 108.80
_cell_angle_gamma 90.00
loop_
_symmetry_equiv_pos_as_xyz
'x,y,z'
'-x,-y,-z'
'-x,y,-z'
'x,-y,z'
loop_
_atom_site_label
_atom_site_fract_x
_atom_site_fract_y
_atom_site_fract_z
Ba1 0.000 0.000 0.000
Ba2 0.500 0.500 0.000
La1 0.000 0.500 0.500
Pa1 0.500 0.000 0.500
As1 0.257 0.000 0.710
As2 0.281 0.500 0.296
```

Mass density in g cm⁻³: 6.153
Magnetic moment in μB per cell: 0.00
Total energy in eV/atom: -5.849

## La4HoTm3Te8 (PBE)

Data for La4HoTm3Te8 after structural relaxation.

```
data_La4HoTm3Te8
_symmetry_space_group_name_H-M 'R -3 m'
_symmetry_Int_Tables_number 166
_symmetry_space_group_name_Hall '-R 3 2"'
_cell_length_a 8.7537
_cell_length_b 8.7537
_cell_length_c 22.4574
_cell_angle_alpha 90.00
_cell_angle_beta 90.00
_cell_angle_gamma 120.00
loop_
_atom_site_label
_atom_site_fract_x
_atom_site_fract_y
_atom_site_fract_z
La1 0.0000 0.0000 0.0000
La2 0.0000 0.5000 0.0000
Ho1 0.0000 0.0000 0.5000
Tm1 0.0000 0.5000 0.5000
Te1 0.0000 0.0000 0.2426
Te2 0.0016 0.5008 0.7571
```

Raw formation energy in eV/atom: -1.400
Mass density in g cm⁻³: 7.515
Magnetic moment in μB per cell: 0.00

## ZrOsSeN2 (PBE)

Data for ZrOsSeN2 after structural relaxation.

```
data_ZrOsSeN2
_symmetry_space_group_name_H-M 'P 4/m m m'
_symmetry_Int_Tables_number 123
_symmetry_space_group_name_Hall '-P 4 2'
_cell_length_a 4.066
_cell_length_b 4.066
_cell_length_c 5.656
_cell_angle_alpha 90.00
_cell_angle_beta 90.00
_cell_angle_gamma 90.00
loop_
_atom_site_label
_atom_site_fract_x
_atom_site_fract_y
_atom_site_fract_z
Zr1 0.000 0.000 0.000
Os1 0.500 0.500 0.500
Se1 0.000 0.000 0.500
N1 0.000 0.500 0.000
```

Raw formation energy in eV/atom: 1.250
Distance to the lowest polymorph of the same formula in meV/atom: 873
Mass density in g cm⁻³: 6.896
Magnetic moment in μB per cell: 3.42

## K5Tl5Pt2 (PBE)

Data for K5Tl5Pt2 after structural relaxation.

```
data_K5Tl5Pt2
_symmetry_space_group_name_H-M 'C 1 2/m 1'
_symmetry_Int_Tables_number 12
_cell_length_a 18.453
_cell_length_b 4.594
_cell_length_c 11.238
_cell_angle_alpha 90.00
_cell_angle_beta 101.81
_cell_angle_gamma 90.00
loop_
_symmetry_equiv_pos_as_xyz
'x,y,z'
'-x,-y,-z'
'-x,y,-z'
'x,-y,z'
'x+1/2,y+1/2,z'
'-x+1/2,-y+1/2,-z'
'-x+1/2,y+1/2,-z'
'x+1/2,-y+1/2,z'
loop_
_atom_site_label
_atom_site_fract_x
_atom_site_fract_y
_atom_site_fract_z
K1 0.000 0.000 0.000
K2 0.146 0.000 0.432
K3 0.191 0.500 0.848
Tl1 0.000 0.500 0.500
Tl2 0.053 0.000 0.718
Tl3 0.151 0.500 0.164
Pt1 0.032 0.500 0.268
```

Mass density in g cm⁻³: 5.725
Magnetic moment in μB per cell: 0.00
Total energy in eV/atom: -2.550

## MgFe2HgBi (PBE)

Data for MgFe2HgBi after structural relaxation.

```
data_MgFe2HgBi
_symmetry_space_group_name_H-M 'P 4/m m m'
_symmetry_Int_Tables_number 123
_symmetry_space_group_name_Hall '-P 4 2'
_cell_length_a 4.934
_cell_length_b 4.934
_cell_length_c 5.038
_cell_angle_alpha 90.00
_cell_angle_beta 90.00
_cell_angle_gamma 90.00
loop_
_atom_site_label
_atom_site_fract_x
_atom_site_fract_y
_atom_site_fract_z
Mg1 0.000 0.000 0.000
Fe1 0.000 0.500 0.500
Hg1 0.000 0.000 0.500
Bi1 0.500 0.500 0.000
```

Mass density in g cm⁻³: 7.386
Magnetic moment in μB per cell: 5.81
Total energy in eV/atom: -3.607

## MnAlV2 (PBE)

Data for MnAlV2 after structural relaxation.

```
data_MnAlV2
_symmetry_space_group_name_H-M 'P 4/m m m'
_symmetry_Int_Tables_number 123
_symmetry_space_group_name_Hall '-P 4 2'
_cell_length_a 2.881
_cell_length_b 2.881
_cell_length_c 6.326
_cell_angle_alpha 90.00
_cell_angle_beta 90.00
_cell_angle_gamma 90.00
loop_
_atom_site_label
_atom_site_fract_x
_atom_site_fract_y
_atom_site_fract_z
Mn1 0.000 0.000 0.000
Al1 0.000 0.000 0.500
V1 0.500 0.500 0.221
```

Mass density in g cm⁻³: 5.814
Magnetic moment in μB per cell: 0.00
Total energy in eV/atom: -7.926

## Ho4Mg2Sc (PBE)

Data for Ho4Mg2Sc after structural relaxation.

```
data_Ho4Mg2Sc
_symmetry_space_group_name_H-M 'R -3 m'
_symmetry_Int_Tables_number 166
_symmetry_space_group_name_Hall '-R 3 2"'
_cell_length_a 5.4264
_cell_length_b 5.4264
_cell_length_c 25.7291
_cell_angle_alpha 90.00
_cell_angle_beta 90.00
_cell_angle_gamma 120.00
loop_
_atom_site_label
_atom_site_fract_x
_atom_site_fract_y
_atom_site_fract_z
Ho1 0.0000 0.0000 0.1307
Ho2 0.0000 0.0000 0.2564
Mg1 0.0000 0.0000 0.3800
Sc1 0.0000 0.0000 0.5000
```

Mass density in g cm⁻³: 5.719
Magnetic moment in μB per cell: 0.00
Total energy in eV/atom: -3.694

## FeB2Ir4 (PBE)

Data for FeB2Ir4 after structural relaxation.

```
data_FeB2Ir4
_symmetry_space_group_name_H-M 'I m a 2'
_symmetry_Int_Tables_number 46
_cell_length_a 6.962
_cell_length_b 9.978
_cell_length_c 5.306
_cell_angle_alpha 90.00
_cell_angle_beta 90.00
_cell_angle_gamma 90.00
loop_
_symmetry_equiv_pos_as_xyz
'x,y,z'
'-x,-y,z'
'-x+1/2,y,z'
'x+1/2,-y,z'
'x+1/2,y+1/2,z+1/2'
'-x+1/2,-y+1/2,z+1/2'
'-x,y+1/2,z+1/2'
'x,-y+1/2,z+1/2'
loop_
_atom_site_label
_atom_site_fract_x
_atom_site_fract_y
_atom_site_fract_z
Fe1 0.250 0.201 0.000
B1 0.000 0.000 0.162
B2 0.250 0.659 0.112
Ir1 0.051 0.702 0.816
Ir2 0.250 0.038 0.433
Ir3 0.250 0.543 0.439
```

Distance to the lowest polymorph of the same formula in meV/atom: 0
Mass density in g cm⁻³: 15.249
Magnetic moment in μB per cell: 13.50

## Pu3HgPd3 (PBE)

Data for Pu3HgPd3 after structural relaxation.

```
data_Pu3HgPd3
_symmetry_space_group_name_H-M 'C m c m'
_symmetry_Int_Tables_number 63
_symmetry_space_group_name_Hall '-C 2c 2'
_cell_length_a 4.494
_cell_length_b 10.338
_cell_length_c 13.772
_cell_angle_alpha 90.00
_cell_angle_beta 90.00
_cell_angle_gamma 90.00
loop_
_atom_site_label
_atom_site_fract_x
_atom_site_fract_y
_atom_site_fract_z
Pu1 0.000 0.041 0.250
Pu2 0.000 0.307 0.106
Hg1 0.000 0.000 0.000
Pd1 0.000 0.234 0.750
Pd2 0.000 0.402 0.599
```

Distance to the lowest polymorph of the same formula in meV/atom: 0
Mass density in g cm⁻³: 12.997
Magnetic moment in μB per cell: 69.07

## RbZr2Ti (PBE)

Data for RbZr2Ti after structural relaxation.

```
data_RbZr2Ti
_symmetry_space_group_name_H-M 'I 41/a m d'
_symmetry_Int_Tables_number 141
_cell_length_a 7.656
_cell_length_b 7.656
_cell_length_c 11.766
_cell_angle_alpha 90.00
_cell_angle_beta 90.00
_cell_angle_gamma 90.00
loop_
_symmetry_equiv_pos_as_xyz
'x,y,z'
'-x,-y,-z'
'-y+1/4,x+3/4,z+1/4'
'y+1/4,-x+3/4,-z+1/4'
'-x+1/2,-y,z+1/2'
'x+1/2,y,-z+1/2'
'y+1/4,-x+1/4,z+3/4'
'-y+1/4,x+1/4,-z+3/4'
'x,-y,-z'
'-x,y,z'
'-y+1/4,-x+1/4,-z+3/4'
'y+1/4,x+1/4,z+3/4'
'-x+1/2,y,-z+1/2'
'x+1/2,-y,z+1/2'
'y+1/4,x+3/4,-z+1/4'
'-y+1/4,-x+3/4,z+1/4'
'x+1/2,y+1/2,z+1/2'
'-x+1/2,-y+1/2,-z+1/2'
'-y+3/4,x+1/4,z+3/4'
'y+3/4,-x+1/4,-z+3/4'
'-x,-y+1/2,z'
'x,y+1/2,-z'
'y+3/4,-x+3/4,z+1/4'
'-y+3/4,x+3/4,-z+1/4'
'x+1/2,-y+1/2,-z+1/2'
'-x+1/2,y+1/2,z+1/2'
'-y+3/4,-x+3/4,-z+1/4'
'y+3/4,x+3/4,z+1/4'
'-x,y+1/2,-z'
'x,-y+1/2,z'
'y+3/4,x+1/4,-z+3/4'
'-y+3/4,-x+1/4,z+3/4'
loop_
_atom_site_label
_atom_site_fract_x
_atom_site_fract_y
_atom_site_fract_z
Rb1 0.000 0.250 0.375
Zr1 0.000 0.000 0.000
Ti1 0.000 0.250 0.875
```

Distance to the lowest polymorph of the same formula in meV/atom: 365
Mass density in g cm⁻³: 3.042
Magnetic moment in μB per cell: 0.00

## Sc2SbAu (PBE)

Data for Sc2SbAu after structural relaxation.

```
data_Sc2SbAu
_symmetry_space_group_name_H-M 'F -4 3 m'
_symmetry_Int_Tables_number 216
_symmetry_space_group_name_Hall 'F -4 2 3'
_cell_length_a 7.059
_cell_length_b 7.059
_cell_length_c 7.059
_cell_angle_alpha 90.00
_cell_angle_beta 90.00
_cell_angle_gamma 90.00
loop_
_atom_site_label
_atom_site_fract_x
_atom_site_fract_y
_atom_site_fract_z
Sc1 0.000 0.000 0.000
Sc2 0.250 0.250 0.250
Sb1 0.000 0.000 0.500
Au1 0.250 0.250 0.750
```

Raw formation energy in eV/atom: -0.183
Mass density in g cm⁻³: 7.716
Magnetic moment in μB per cell: 4.83

## HoPu5Pt6 (PBE)

Data for HoPu5Pt6 after structural relaxation.

```
data_HoPu5Pt6
_symmetry_space_group_name_H-M 'I m m m'
_symmetry_Int_Tables_number 71
_symmetry_space_group_name_Hall '-I 2 2'
_cell_length_a 4.932
_cell_length_b 6.916
_cell_length_c 15.163
_cell_angle_alpha 90.00
_cell_angle_beta 90.00
_cell_angle_gamma 90.00
loop_
_atom_site_label
_atom_site_fract_x
_atom_site_fract_y
_atom_site_fract_z
Ho1 0.000 0.000 0.000
Pu1 0.000 0.000 0.334
Pu2 0.000 0.500 0.000
Pu3 0.000 0.500 0.328
Pt1 0.000 0.243 0.161
Pt2 0.000 0.260 0.500
```

Mass density in g cm⁻³: 16.411
Magnetic moment in μB per cell: 32.85
Total energy in eV/atom: -10.172

## KNaAu (PBE)

Data for KNaAu after structural relaxation.

```
data_KNaAu
_symmetry_space_group_name_H-M 'P 3 m 1'
_symmetry_Int_Tables_number 156
_cell_length_a 5.1222
_cell_length_b 5.1222
_cell_length_c 4.4194
_cell_angle_alpha 90.00
_cell_angle_beta 90.00
_cell_angle_gamma 120.00
loop_
_symmetry_equiv_pos_as_xyz
'x,y,z'
'-y,x-y,z'
'-x+y,-x,z'
'-y,-x,z'
'-x+y,y,z'
'x,x-y,z'
loop_
_atom_site_label
_atom_site_fract_x
_atom_site_fract_y
_atom_site_fract_z
K1 0.0000 0.0000 0.0000
Na1 0.6667 0.3333 0.4989
Au1 0.3333 0.6667 0.5010
```

Mass density in g cm⁻³: 4.284
Magnetic moment in μB per cell: 0.00
Total energy in eV/atom: -2.074